## U3Tl3PdS8 (PBE)

Data for an optimized crystal structure of U3Tl3PdS8.

* N(E_F): 1.00 states/eV/atom
* total moment: 5.09 μB per formula unit
* energy relative to the elements, uncorrected: -0.918 eV/atom
* electronic total energy: -92.94 eV for the cell shown

a b c (Å): 7.7509 7.7376 8.8875
angles (deg): 115.74 90.00 120.06
Last column: nearest neighbours and their distance in Å.
Fractional coordinates of all 15 atoms:
1 U 0.5000 0.0000 0.5000  6 S 2.67-2.72
2 U 0.5000 0.5000 0.5000  6 S 2.67-2.72
3 U 0.0000 0.5000 0.5000  6 S 2.67-2.72
4 Tl 0.0000 0.0000 0.0000  6 S 3.20-3.26
5 Tl 0.0000 0.5000 0.0000  6 S 3.20-3.26
6 Tl 0.5000 0.5000 0.0000  6 S 3.20-3.26
7 Pd 0.0000 0.0000 0.5000  6 S 2.72-2.74
8 S 0.2659 0.5317 0.2979  3 U 2.72
9 S 0.7341 0.4683 0.7021  3 U 2.72
10 S 0.7660 0.5320 0.3068  2 U 2.67, 1 Pd 2.72
11 S 0.2340 0.4680 0.6932  2 U 2.67, 1 Pd 2.72
12 S 0.7640 0.0411 0.3053  2 U 2.67, 1 Pd 2.74
13 S 0.2360 0.9589 0.6947  2 U 2.67, 1 Pd 2.74
14 S 0.2771 0.0411 0.3053  2 U 2.67, 1 Pd 2.74
15 S 0.7229 0.9589 0.6947  2 U 2.67, 1 Pd 2.74